This record from Alexandria via LeMat-Bulk describes a relaxed NaCaNp2O8 crystal. The functional is GGA-PBE.

POSCAR file:
```
NaCaNp2O8
1.0
-2.2411 -4.8544 -0.0110
1.5609 -0.7091 -5.0644
4.7403 0.7466 4.1788
Na Ca Np O
1 1 2 8
Direct
0.7500 0.2500 0.5000
0.0000 0.0000 0.0000
0.5000 0.5000 0.0000
0.2500 0.7500 0.5000
0.8755 0.8434 0.2489
0.3733 0.4054 0.2489
0.5941 0.6269 0.7501
0.1560 0.1233 0.7501
0.8767 0.4059 0.2499
0.3731 0.8440 0.2499
0.1566 0.6267 0.7511
0.5946 0.1245 0.7511
```

Properties
ΔE_f (raw) ... -243.35 kJ per mole of atoms
Total energy ... -99.1 eV/cell
Theoretical density ... 7.548 g cm⁻³
DOS(E_F) ... 6.628 states/eV/cell
M_tot ... 0.085 μB per atom